[1]
# PBE Ti2FeB2RuRh4, relaxed
# energy relative to the elements = -0.56 eV/atom
data_Ti2FeB2RuRh4
_chemical_formula_sum 'Ti4 Fe2 B4 Ru2 Rh8'
_space_group_name_H-M_alt 'P 1 2/m 1'
_space_group_IT_number 10
_cell_length_a 9.128
_cell_length_b 3.034
_cell_length_c 9.207
_cell_angle_alpha 90.00
_cell_angle_beta 90.20
_cell_angle_gamma 90.00
loop_
_space_group_symop_operation_xyz
'x,y,z'
'-x,-y,-z'
'-x,y,-z'
'x,-y,z'
loop_
_atom_site_label
_atom_site_type_symbol
_atom_site_fract_x
_atom_site_fract_y
_atom_site_fract_z
Ti1 Ti 0.170 0.000 0.321
Ti2 Ti 0.318 0.000 0.824
Fe1 Fe 0.000 0.000 0.000
Fe2 Fe 0.500 0.000 0.500
B1 B 0.124 0.000 0.628
B2 B 0.374 0.000 0.126
Ru1 Ru 0.072 0.500 0.786
Rh1 Rh 0.000 0.500 0.500
Rh2 Rh 0.215 0.500 0.072
Rh3 Rh 0.286 0.500 0.570
Rh4 Rh 0.428 0.500 0.285
Rh5 Rh 0.500 0.500 0.000

[2]
# PBE SiMo3C, relaxed
# uncorrected formation energy = 0.0136 eV/atom
data_SiMo3C
_chemical_formula_sum 'Si2 Mo6 C2'
_space_group_name_H-M_alt 'P m m n'
_space_group_IT_number 59
_cell_length_a 3.147
_cell_length_b 5.800
_cell_length_c 7.397
_cell_angle_alpha 90.00
_cell_angle_beta 90.00
_cell_angle_gamma 90.00
loop_
_space_group_symop_operation_xyz
'x,y,z'
'-x,-y,-z'
'-x+1/2,-y+1/2,z'
'x+1/2,y+1/2,-z'
'x+1/2,-y,-z'
'-x+1/2,y,z'
'-x,y+1/2,-z'
'x,-y+1/2,z'
loop_
_atom_site_label
_atom_site_type_symbol
_atom_site_fract_x
_atom_site_fract_y
_atom_site_fract_z
Si1 Si 0.250 0.250 0.160
Mo1 Mo 0.250 0.002 0.657
Mo2 Mo 0.250 0.750 0.098
C1 C 0.250 0.750 0.431

[3]
# PBE CaCe2NpP4, relaxed
# energy relative to the elements = -1.22 eV/atom
data_CaCe2NpP4
_chemical_formula_sum 'Ca2 Ce4 Np2 P8'
_space_group_name_H-M_alt 'I -4 m 2'
_space_group_IT_number 119
_space_group_name_Hall 'I -4 -2'
_cell_length_a 5.743
_cell_length_b 5.743
_cell_length_c 11.520
_cell_angle_alpha 90.00
_cell_angle_beta 90.00
_cell_angle_gamma 90.00
loop_
_atom_site_label
_atom_site_type_symbol
_atom_site_fract_x
_atom_site_fract_y
_atom_site_fract_z
Ca1 Ca 0.000 0.000 0.000
Ce1 Ce 0.000 0.000 0.500
Ce2 Ce 0.000 0.500 0.250
Np1 Np 0.000 0.500 0.750
P1 P 0.000 0.000 0.255
P2 P 0.000 0.500 0.505

[4]
# PBE LiCd2TeS4, relaxed
# uncorrected formation energy = -0.4305 eV/atom
data_LiCd2TeS4
_chemical_formula_sum 'Li4 Cd8 Te4 S16'
_space_group_name_H-M_alt 'C 1 2/c 1'
_space_group_IT_number 15
_cell_length_a 10.991
_cell_length_b 10.852
_cell_length_c 7.663
_cell_angle_alpha 90.00
_cell_angle_beta 132.36
_cell_angle_gamma 90.00
loop_
_space_group_symop_operation_xyz
'x,y,z'
'-x,-y,-z'
'-x,y,-z+1/2'
'x,-y,z+1/2'
'x+1/2,y+1/2,z'
'-x+1/2,-y+1/2,-z'
'-x+1/2,y+1/2,-z+1/2'
'x+1/2,-y+1/2,z+1/2'
loop_
_atom_site_label
_atom_site_type_symbol
_atom_site_fract_x
_atom_site_fract_y
_atom_site_fract_z
Li1 Li 0.000 0.000 0.000
Cd1 Cd 0.000 0.500 0.000
Cd2 Cd 0.250 0.250 0.000
Te1 Te 0.250 0.250 0.500
S1 S 0.027 0.242 0.533
S2 S 0.240 0.496 0.480

Summary of VASP energy in eV/atom
-8.19 -9.41 -7.28 -3.35
(order as listed above)
Summary of total moment in μB per formula unit
4.31 0.00 4.83 0.00
(order as listed above)
Summary of density of states at the Fermi level in states/eV per cell
10.38 4.68 34.76 6.43
(order as listed above)